PBE SmSiHIr, relaxed; raw total energy = -6.49 eV/atom; N(E_F) = 3.08 states/eV/cell
1.0
4.071 0.000 0.000
0.000 4.071 0.000
0.000 0.000 7.457
Si Ir Sm H
2 2 2 2
Cartesian
0.000 2.036 6.157
2.036 0.000 1.299
2.036 2.036 0.000
0.000 0.000 0.000
2.036 0.000 4.909
0.000 2.036 2.548
2.036 2.036 3.728
0.000 0.000 3.728